# 1
Crystalline CdGeBi at its relaxed geometry, computed with GGA-PBE.

CIF file:
```
data_CdGeBi
_cell_length_a 4.957
_cell_length_b 4.957
_cell_length_c 4.957
_cell_angle_alpha 60.00
_cell_angle_beta 60.00
_cell_angle_gamma 60.00
_symmetry_space_group_name_H-M 'P 1'
_symmetry_Int_Tables_number 1
loop_
_symmetry_equiv_pos_as_xyz
'x,y,z'
loop_
_atom_site_label
_atom_site_fract_x
_atom_site_fract_y
_atom_site_fract_z
_atom_site_occupancy
Cd1 0.000 0.000 0.000 1
Ge1 0.250 0.250 0.250 1
Bi1 0.500 0.500 0.500 1
```

Results
Spin magnetization in μB/cell: 0.0
Excess energy over the best structure of this formula in the dataset in kJ/mol of formula units: 0
ρ in g cm⁻³: 7.60
Formation energy in eV/f.u.: 0.56
DOS at the Fermi energy in states/eV/atom: 0.603


# 2
Crystalline SrNpPa2O8 at its relaxed geometry, computed with GGA-PBE.

CIF file:
```
data_SrNpPa2O8
_cell_length_a 6.680
_cell_length_b 6.680
_cell_length_c 6.680
_cell_angle_alpha 131.50
_cell_angle_beta 131.50
_cell_angle_gamma 71.03
_symmetry_space_group_name_H-M 'P 1'
_symmetry_Int_Tables_number 1
loop_
_symmetry_equiv_pos_as_xyz
'x,y,z'
loop_
_atom_site_label
_atom_site_fract_x
_atom_site_fract_y
_atom_site_fract_z
_atom_site_occupancy
Sr1 0.000 0.000 0.000 1
Np1 0.250 0.750 0.500 1
Pa1 0.500 0.500 0.000 1
Pa2 0.750 0.250 0.500 1
O1 0.131 0.137 0.528 1
O2 0.131 0.603 0.994 1
O3 0.397 0.391 0.528 1
O4 0.397 0.869 0.006 1
O5 0.609 0.137 0.006 1
O6 0.609 0.603 0.472 1
O7 0.863 0.391 0.994 1
O8 0.863 0.869 0.472 1
```

Results
Energy relative to the elements, uncorrected in eV per atom: -3.411
Spin magnetization in μB/cell: 3.0
ρ in g cm⁻³: 9.28
DOS at the Fermi energy in states/eV/atom: 0.944


# 3
Crystalline LiCd2Te at its relaxed geometry, computed with GGA-PBE.

CIF file:
```
data_LiCd2Te
_cell_length_a 3.209
_cell_length_b 3.209
_cell_length_c 9.384
_cell_angle_alpha 90.00
_cell_angle_beta 90.00
_cell_angle_gamma 90.00
_symmetry_space_group_name_H-M 'P 1'
_symmetry_Int_Tables_number 1
loop_
_symmetry_equiv_pos_as_xyz
'x,y,z'
loop_
_atom_site_label
_atom_site_fract_x
_atom_site_fract_y
_atom_site_fract_z
_atom_site_occupancy
Li1 0.000 0.000 0.000 1
Cd1 0.500 0.500 0.209 1
Cd2 0.500 0.500 0.791 1
Te1 0.000 0.000 0.500 1
```

Results
Energy relative to the elements, uncorrected in eV per atom: -0.085
Spin magnetization in μB/cell: 0.0
ρ in g cm⁻³: 6.18
DOS at the Fermi energy in states/eV/atom: 0.424


# 4
Crystalline PrMg3Rh at its relaxed geometry, computed with GGA-PBE.

CIF file:
```
data_PrMg3Rh
_cell_length_a 4.961
_cell_length_b 4.961
_cell_length_c 4.961
_cell_angle_alpha 90.00
_cell_angle_beta 90.00
_cell_angle_gamma 90.00
_symmetry_space_group_name_H-M 'P 1'
_symmetry_Int_Tables_number 1
loop_
_symmetry_equiv_pos_as_xyz
'x,y,z'
loop_
_atom_site_label
_atom_site_fract_x
_atom_site_fract_y
_atom_site_fract_z
_atom_site_occupancy
Pr1 0.000 0.000 0.000 1
Mg1 0.000 0.500 0.500 1
Mg2 0.500 0.000 0.500 1
Mg3 0.500 0.500 0.000 1
Rh1 0.500 0.500 0.500 1
```

Results
Spin magnetization in μB/cell: 0.0
Excess energy over the best structure of this formula in the dataset in kJ/mol of formula units: 67
ρ in g cm⁻³: 4.31
Formation energy in eV/f.u.: -1.03
DOS at the Fermi energy in states/eV/atom: 1.148


# 5
Crystalline TmMgBe4 at its relaxed geometry, computed with GGA-PBE.

CIF file:
```
data_TmMgBe4
_cell_length_a 4.845
_cell_length_b 4.845
_cell_length_c 4.845
_cell_angle_alpha 60.00
_cell_angle_beta 60.00
_cell_angle_gamma 60.00
_symmetry_space_group_name_H-M 'P 1'
_symmetry_Int_Tables_number 1
loop_
_symmetry_equiv_pos_as_xyz
'x,y,z'
loop_
_atom_site_label
_atom_site_fract_x
_atom_site_fract_y
_atom_site_fract_z
_atom_site_occupancy
Tm1 0.000 0.000 0.000 1
Mg1 0.750 0.750 0.750 1
Be1 0.371 0.371 0.371 1
Be2 0.371 0.371 0.886 1
Be3 0.371 0.886 0.371 1
Be4 0.886 0.371 0.371 1
```

Results
Spin magnetization in μB/cell: 0.0
ρ in g cm⁻³: 4.74
Formation energy in eV/f.u.: 0.66
DOS at the Fermi energy in states/eV/atom: 0.710


# 6
Crystalline NaCrCu3 at its relaxed geometry, computed with GGA-PBE.

CIF file:
```
data_NaCrCu3
_cell_length_a 4.717
_cell_length_b 4.717
_cell_length_c 4.717
_cell_angle_alpha 90.00
_cell_angle_beta 90.00
_cell_angle_gamma 90.00
_symmetry_space_group_name_H-M 'P 1'
_symmetry_Int_Tables_number 1
loop_
_symmetry_equiv_pos_as_xyz
'x,y,z'
loop_
_atom_site_label
_atom_site_fract_x
_atom_site_fract_y
_atom_site_fract_z
_atom_site_occupancy
Na1 0.000 0.000 0.000 1
Cr1 0.500 0.500 0.500 1
Cu1 0.000 0.500 0.500 1
Cu2 0.500 0.000 0.500 1
Cu3 0.500 0.500 0.000 1
```

Results
Spin magnetization in μB/cell: 4.3
Excess energy over the best structure of this formula in the dataset in kJ/mol of formula units: 0
ρ in g cm⁻³: 4.20
Formation energy in eV/f.u.: 4.52
DOS at the Fermi energy in states/eV/atom: 0.644